DFT (PBE) results for a relaxed Y2AgPt2 crystal.

Summary:
- Energy relative to the elements: -4.943 eV/f.u.
- Symmetry: P4/mbm, No. 127
- Offset from the most stable computed form: 0.0 meV per atom

a = 7.6666 Å, b = 7.6666 Å, c = 3.7265 Å
α = 90.00°, β = 90.00°, γ = 90.00°
Sites, in units of the cell vectors:
Pt (0.3679, 0.8679, 0.0000)
Pt (0.8679, 0.6321, 0.0000)
Pt (0.1321, 0.3679, 0.0000)
Pt (0.6321, 0.1321, 0.0000)
Ag (0.5000, 0.5000, 0.0000)
Ag (0.0000, 0.0000, 0.0000)
Y (0.3321, 0.1679, 0.5000)
Y (0.6679, 0.8321, 0.5000)
Y (0.8321, 0.3321, 0.5000)
Y (0.1679, 0.6679, 0.5000)



DFT (PBE) results for a relaxed CdRuBr2 crystal.

Summary:
- Symmetry: Pm, No. 6
- Offset from the most stable computed form: 0.0 meV per atom
- ΔE_f (raw): -0.0320 eV/atom

a = 3.3068 Å, b = 4.3599 Å, c = 7.7198 Å
α = 73.61°, β = 90.00°, γ = 90.00°
Sites, in units of the cell vectors:
Br (0.5000, 0.1468, 0.3334)
Br (0.0000, 0.8537, 0.9168)
Cd (0.0000, 0.5221, 0.5801)
Ru (0.5000, 0.9773, 0.6697)



DFT (PBE) results for a relaxed Li2Si2AgPd2 crystal.

Summary:
- Symmetry: C2/m, No. 12
- ΔE_f (raw): -0.4108 eV/atom

a = 4.2269 Å, b = 4.2563 Å, c = 7.1574 Å
α = 107.06°, β = 90.00°, γ = 119.77°
Sites, in units of the cell vectors:
Si (0.5887, 0.1775, 0.7697)
Si (0.4113, 0.8225, 0.2303)
Pd (0.7301, 0.4603, 0.1901)
Pd (0.2699, 0.5397, 0.8099)
Li (0.1368, 0.2736, 0.4118)
Li (0.8632, 0.7264, 0.5882)
Ag (0.0000, 0.0000, 0.0000)



DFT (PBE) results for a relaxed Cu5Pd3Pt crystal.

Summary:
- Energy relative to the elements: 2.145 eV/f.u.
- Symmetry: I4/mcm, No. 140

a = 6.3089 Å, b = 6.3089 Å, c = 8.1959 Å
α = 112.64°, β = 112.64°, γ = 90.00°
Sites, in units of the cell vectors:
Cu (0.8776, 0.9221, 0.2997)
Cu (0.5779, 0.6224, 0.7003)
Cu (0.3776, 0.8776, 0.2997)
Cu (0.4221, 0.3776, 0.2997)
Cu (0.0000, 0.0000, 0.0000)
Cu (0.1224, 0.0779, 0.7003)
Cu (0.0779, 0.5779, 0.7003)
Cu (0.5000, 0.5000, 0.0000)
Cu (0.9221, 0.4221, 0.2997)
Cu (0.6224, 0.1224, 0.7003)
Pd (0.6359, 0.1359, 0.0000)
Pd (0.7500, 0.7500, 0.5000)
Pd (0.2500, 0.2500, 0.5000)
Pd (0.1359, 0.3641, 0.0000)
Pd (0.8641, 0.6359, 0.0000)
Pd (0.3641, 0.8641, 0.0000)
Pt (0.2500, 0.7500, 0.5000)
Pt (0.7500, 0.2500, 0.5000)



DFT (PBE) results for a relaxed ScIrPb2 crystal.

Summary:
- Energy relative to the elements: -0.051 eV/f.u.
- Symmetry: F-43m, No. 216
- Offset from the most stable computed form: 266.5 meV per atom

a = 4.9909 Å, b = 4.9909 Å, c = 4.9909 Å
α = 60.00°, β = 60.00°, γ = 60.00°
Sites, in units of the cell vectors:
Sc (0.7500, 0.7500, 0.7500)
Ir (0.5000, 0.5000, 0.5000)
Pb (0.0000, 0.0000, 0.0000)
Pb (0.2500, 0.2500, 0.2500)



DFT (PBE) results for a relaxed ZnCu2AgSb crystal.

Summary:
- Symmetry: P4/mmm, No. 123
- ΔE_f (raw): 0.6943 eV/atom

a = 4.7719 Å, b = 4.7414 Å, c = 4.7719 Å
α = 90.00°, β = 90.00°, γ = 90.00°
Sites, in units of the cell vectors:
Cu (0.0000, 0.0000, 0.5000)
Cu (0.5000, 0.0000, 0.0000)
Zn (0.0000, 0.5000, 0.0000)
Sb (0.5000, 0.5000, 0.5000)
Ag (0.0000, 0.0000, 0.0000)



DFT (PBE) results for a relaxed NiHPt2 crystal.

Summary:
- Symmetry: P4/mmm, No. 123
- Offset from the most stable computed form: 260.4 meV per atom

a = 2.7256 Å, b = 2.7256 Å, c = 6.2792 Å
α = 90.00°, β = 90.00°, γ = 90.00°
Sites, in units of the cell vectors:
Pt (0.0000, 0.0000, 0.2140)
Pt (0.0000, 0.0000, 0.7860)
Ni (0.5000, 0.5000, 0.5000)
H (0.5000, 0.5000, 0.0000)



DFT (PBE) results for a relaxed Te2AsW crystal.

Summary:
- Symmetry: P2/m, No. 10
- ΔE_f (raw): 0.7175 eV/atom

a = 3.4394 Å, b = 7.2908 Å, c = 5.6294 Å
α = 39.04°, β = 90.00°, γ = 90.00°
Sites, in units of the cell vectors:
W (0.5000, 0.5000, 0.5000)
As (0.0000, 0.0000, 0.5000)
Te (0.5000, 0.5000, 0.0000)
Te (0.0000, 0.0000, 0.0000)